# 1
Density functional theory data (GGA-PBE) for crystalline CaBCBr2 at its relaxed geometry.

Cell: 5.6406 5.6406 4.9437 Å, 90.00 90.00 90.00°
Sites, in units of the cell vectors:
Ca  0.0000  0.0000  0.0000
B  0.5000  0.5000  0.5000
C  0.0000  0.0000  0.5000
Br  0.0000  0.5000  0.0000
Br  0.5000  0.0000  0.0000

Properties
DOS(E_F) ... 0.5 states/eV/cell
DFT total energy ... -0.2152 Ry per atom
Theoretical density ... 2.4 g/cm3

# 2
Density functional theory data (GGA-PBE) for crystalline Ca3BCBr2N at its relaxed geometry.

Cell: 14.6910 3.9180 11.3909 Å, 90.00 90.00 90.00°
Sites, in units of the cell vectors:
Ca  0.1047  0.2500  0.1462
Ca  0.1438  0.7500  0.4307
Ca  0.1947  0.7500  0.7976
Ca  0.3053  0.2500  0.2976
Ca  0.3562  0.2500  0.9307
Ca  0.3953  0.7500  0.6462
Ca  0.6047  0.2500  0.3538
Ca  0.6438  0.7500  0.0693
Ca  0.6947  0.7500  0.7024
Ca  0.8053  0.2500  0.2024
Ca  0.8562  0.2500  0.5693
Ca  0.8953  0.7500  0.8538
B  0.2421  0.7500  0.0974
B  0.2579  0.2500  0.5974
B  0.7421  0.7500  0.4026
B  0.7579  0.2500  0.9026
C  0.2047  0.7500  0.2162
C  0.2953  0.2500  0.7162
C  0.7047  0.7500  0.2838
C  0.7953  0.2500  0.7838
Br  0.0107  0.7500  0.6381
Br  0.0611  0.2500  0.8957
Br  0.4389  0.7500  0.3957
Br  0.4893  0.2500  0.1381
Br  0.5107  0.7500  0.8619
Br  0.5611  0.2500  0.6043
Br  0.9389  0.7500  0.1043
Br  0.9893  0.2500  0.3619
N  0.2282  0.2500  0.4840
N  0.2718  0.7500  0.9840
N  0.7282  0.2500  0.0160
N  0.7718  0.7500  0.5160

Properties
DOS(E_F) ... 0.0 states/eV/cell
DFT total energy ... -0.3966 Ry per atom
Theoretical density ... 3.2 g/cm3

# 3
Density functional theory data (GGA-PBE) for crystalline Cs2BCBr6 at its relaxed geometry.

Cell: 7.7688 7.7688 7.7688 Å, 123.49 123.49 84.05°
Sites, in units of the cell vectors:
Cs  0.2500  0.7500  0.5000
Cs  0.7500  0.2500  0.5000
B  0.0000  0.0000  0.0000
C  0.5000  0.5000  0.0000
Br  0.2109  0.2109  0.4217
Br  0.2109  0.7891  0.0000
Br  0.2950  0.2950  0.0000
Br  0.7050  0.7050  0.0000
Br  0.7891  0.2109  0.0000
Br  0.7891  0.7891  0.5783

Properties
DOS(E_F) ... 3.8 states/eV/cell
DFT total energy ... -0.2091 Ry per atom
Theoretical density ... 4.1 g/cm3

# 4
Density functional theory data (GGA-PBE) for crystalline BCBr2F at its relaxed geometry.

Cell: 4.7432 4.7432 3.6974 Å, 90.00 90.00 90.00°
Sites, in units of the cell vectors:
B  0.0000  0.0000  0.0000
C  0.5000  0.5000  0.5000
Br  0.0000  0.5000  0.5000
Br  0.5000  0.0000  0.5000
F  0.5000  0.5000  0.0000

Properties
DOS(E_F) ... 0.1 states/eV/cell
DFT total energy ... -0.2112 Ry per atom
Theoretical density ... 4.0 g/cm3

# 5
Density functional theory data (GGA-PBE) for crystalline La3BC2Br2 at its relaxed geometry.

Cell: 15.4492 4.0058 11.5810 Å, 90.00 90.00 90.00°
Sites, in units of the cell vectors:
La  0.1376  0.2500  0.1225
La  0.1609  0.7500  0.4460
La  0.1696  0.7500  0.8011
La  0.3304  0.2500  0.3011
La  0.3391  0.2500  0.9460
La  0.3624  0.7500  0.6225
La  0.6376  0.2500  0.3775
La  0.6609  0.7500  0.0540
La  0.6696  0.7500  0.6989
La  0.8304  0.2500  0.1989
La  0.8391  0.2500  0.5540
La  0.8624  0.7500  0.8775
B  0.2467  0.2500  0.6245
B  0.2533  0.7500  0.1245
B  0.7467  0.2500  0.8755
B  0.7533  0.7500  0.3755
C  0.2255  0.7500  0.2475
C  0.2331  0.7500  0.9993
C  0.2669  0.2500  0.4993
C  0.2745  0.2500  0.7475
C  0.7255  0.7500  0.2525
C  0.7331  0.7500  0.5007
C  0.7669  0.2500  0.0007
C  0.7745  0.2500  0.7525
Br  0.0116  0.2500  0.3649
Br  0.0283  0.2500  0.8853
Br  0.4717  0.7500  0.3853
Br  0.4884  0.7500  0.8649
Br  0.5116  0.2500  0.1351
Br  0.5283  0.2500  0.6147
Br  0.9717  0.7500  0.1147
Br  0.9884  0.7500  0.6351

Properties
DOS(E_F) ... 9.4 states/eV/cell
DFT total energy ... -0.4711 Ry per atom
Theoretical density ... 5.7 g/cm3

# 6
Density functional theory data (GGA-PBE) for crystalline MnBC2Br at its relaxed geometry.

Cell: 3.8699 3.8699 3.9896 Å, 90.00 90.00 90.00°
Sites, in units of the cell vectors:
Mn  0.0000  0.0000  0.0000
B  0.5000  0.5000  0.0000
C  0.0000  0.5000  0.5000
C  0.5000  0.0000  0.5000
Br  0.5000  0.5000  0.5000

Properties
DOS(E_F) ... 5.9 states/eV/cell
DFT total energy ... -0.2734 Ry per atom
Theoretical density ... 4.7 g/cm3